No. 1
First-principles (PBE-GGA) data for a relaxed SrBiO2 crystal, as listed in Alexandria.

```
4
Lattice="-1.729 -4.507 5.511 0.208 -6.586 3.202 1.929 -4.370 5.555" Properties=species:S:1:pos:R:3 pbc="T T T"
Bi 0.000 0.000 0.000
O 0.366 -13.855 12.784
O 0.042 -1.609 1.484
Sr 0.204 -7.732 7.134
```

Calculated values
The crystal system is trigonal. For the raw formation energy, the calculation gives -1.661 eV per atom.

***

No. 2
First-principles (PBE-GGA) data for a relaxed Zn2Te crystal, as listed in Alexandria.

```
6
Lattice="2.209 3.738 -0.753 -2.209 3.738 -0.753 0.000 -0.536 9.612" Properties=species:S:1:pos:R:3 pbc="T T T"
Zn 0.000 5.959 3.555
Zn 0.000 1.751 8.193
Zn 0.000 0.981 4.552
Zn 0.000 5.189 -0.086
Te 0.000 2.882 1.344
Te 0.000 4.058 6.763
```

Calculated values
The polymorph energy (0 for the lowest one) is 0.076 eV per atom. The crystal system is monoclinic. For the raw formation energy, the calculation gives -0.044 eV per atom.

***

No. 3
First-principles (PBE-GGA) data for a relaxed Al3ReW crystal, as listed in Alexandria.

```
5
Lattice="-0.518 -2.501 -3.898 1.280 -3.847 2.298 -4.451 -0.815 1.115" Properties=species:S:1:pos:R:3 pbc="T T T"
Re 0.000 0.000 0.000
W -1.845 -3.582 -0.243
Al -0.259 -1.251 -1.949
Al -2.225 -0.408 0.557
Al 0.640 -1.923 1.149
```

Calculated values
The polymorph energy (0 for the lowest one) is 0.000 eV per atom. The crystal system is cubic.

***

No. 4
First-principles (PBE-GGA) data for a relaxed CsCdSe2Br crystal, as listed in Alexandria.

```
5
Lattice="5.781 0.000 0.000 0.000 5.781 0.000 0.000 0.000 6.644" Properties=species:S:1:pos:R:3 pbc="T T T"
Cd 2.891 2.891 3.322
Se 0.000 2.891 0.000
Se 2.891 0.000 0.000
Br 0.000 0.000 3.322
Cs 0.000 0.000 0.000
```

Calculated values
The polymorph energy (0 for the lowest one) is 1.084 eV per atom. The crystal system is tetragonal. For the raw formation energy, the calculation gives 0.585 eV per atom.

***

no.,M_tot (μB/f.u.)
1,0.0
2,0.0
3,3.0
4,0.0